[1]
Y2NiS | PBE | relaxed

The structure belongs to space group I-42d (No. 122); the cell edges are 7.0518, 7.0518 and 7.6729 Å and the angles 90.00°, 90.00° and 90.00°. The distinct sites, in fractional coordinates, are Y at (0.2427, 0.7500, 0.1250), Ni at (0.0000, 0.0000, 0.0000) and S at (0.0000, 0.0000, 0.5000).

The formation energy without anion corrections is -0.768 eV/atom. The calculation puts the magnetic moment at 0.000 μB per atom.



[2]
CaCdRh3 | PBE | relaxed

The structure belongs to space group Pm-3m (No. 221); the cell edges are 4.7705, 4.7705 and 4.7705 Å and the angles 90.00°, 90.00° and 90.00°. The distinct sites, in fractional coordinates, are Ca at (0.0000, 0.0000, 0.0000), Cd at (0.5000, 0.5000, 0.5000) and Rh at (0.0000, 0.0000, 0.5000).

As for the energy above the most stable polymorph in this dataset: 362 meV per atom. The calculation puts the magnetic moment at 0.266 μB per atom. The calculation puts the energy of formation at 1.236 eV/atom.



no.,VASP energy (eV/atom),N(E_F) (states/eV per atom)
1,-6.48,0.58
2,-3.76,1.12